{
  "formula": "ZnCdNO",
  "functional": "PBE-GGA",
  "state": "optimized geometry",
  "e_above_lowest_polymorph_kj_per_mol_fu": 11.0,
  "lattice": [[3.374, 0.000, 0.000], [0.000, 5.540, 0.000], [0.000, 0.000, 5.965]],
  "species": ["Zn", "Zn", "N", "N", "O", "O", "Cd", "Cd"],
  "fractional_positions": [[0.500, 0.994, 0.164], [0.500, 0.494, 0.836], [0.000, 0.902, 0.310], [0.000, 0.402, 0.690], [0.500, 0.852, 0.860], [0.500, 0.352, 0.140], [0.000, 0.006, 0.664], [0.000, 0.506, 0.336]]
}


{
  "formula": "ZnCdNO",
  "functional": "PBE-GGA",
  "state": "optimized geometry",
  "e_above_lowest_polymorph_kj_per_mol_fu": 4.6,
  "lattice": [[0.946, 3.069, -0.426], [5.400, -1.611, 0.386], [0.166, -0.886, -6.021]],
  "species": ["O", "O", "Zn", "Zn", "Cd", "Cd", "N", "N"],
  "fractional_positions": [[0.500, 0.898, 0.820], [0.500, 0.398, 0.180], [0.000, 0.003, 0.652], [0.000, 0.503, 0.348], [0.500, 0.003, 0.169], [0.500, 0.503, 0.831], [0.000, 0.350, 0.637], [0.000, 0.850, 0.363]]
}


{
  "formula": "ZnCdNO",
  "functional": "PBE-GGA",
  "state": "optimized geometry",
  "e_above_lowest_polymorph_kj_per_mol_fu": 6.7,
  "lattice": [[4.778, 0.000, 0.000], [0.000, 6.146, 0.000], [0.000, 0.000, 7.351]],
  "species": ["N", "N", "N", "N", "Zn", "Zn", "Zn", "Zn", "Cd", "Cd", "Cd", "Cd", "O", "O", "O", "O"],
  "fractional_positions": [[0.048, 0.431, 0.144], [0.548, 0.069, 0.144], [0.548, 0.569, 0.856], [0.048, 0.931, 0.856], [0.520, 0.919, 0.383], [0.020, 0.581, 0.383], [0.520, 0.419, 0.617], [0.020, 0.081, 0.617], [0.042, 0.567, 0.862], [0.542, 0.433, 0.138], [0.042, 0.067, 0.138], [0.542, 0.933, 0.862], [0.092, 0.896, 0.403], [0.592, 0.104, 0.597], [0.092, 0.396, 0.597], [0.592, 0.604, 0.403]]
}


{
  "formula": "ZnCdNO",
  "functional": "PBE-GGA",
  "state": "optimized geometry",
  "e_above_lowest_polymorph_kj_per_mol_fu": 0.0,
  "lattice": [[-3.746, 4.434, -0.101], [-5.424, -4.594, -0.521], [-0.357, -0.181, 5.322]],
  "species": ["Zn", "Zn", "Zn", "Zn", "N", "N", "N", "N", "Cd", "Cd", "Cd", "Cd", "O", "O", "O", "O"],
  "fractional_positions": [[0.585, 0.889, 0.990], [0.415, 0.111, 0.490], [0.085, 0.111, 0.990], [0.915, 0.889, 0.490], [0.899, 0.906, 0.123], [0.601, 0.906, 0.623], [0.399, 0.094, 0.123], [0.101, 0.094, 0.623], [0.934, 0.356, 0.508], [0.066, 0.644, 0.008], [0.434, 0.644, 0.508], [0.566, 0.356, 0.008], [0.945, 0.357, 0.082], [0.445, 0.643, 0.082], [0.055, 0.643, 0.582], [0.555, 0.357, 0.582]]
}


{
  "formula": "Ta4CdPN2",
  "functional": "PBE-GGA",
  "state": "optimized geometry",
  "m_tot_mub_per_cell": 0.007,
  "energy_ev_per_cell": -75.0,
  "lattice": [[3.200, 0.000, 0.000], [-1.600, 2.771, 0.000], [0.000, 0.000, 12.993]],
  "species": ["N", "N", "Ta", "Ta", "Ta", "Ta", "Cd", "P"],
  "fractional_positions": [[0.333, 0.667, 0.731], [0.333, 0.667, 0.269], [0.000, 0.000, 0.186], [0.667, 0.333, 0.366], [0.000, 0.000, 0.814], [0.667, 0.333, 0.634], [0.667, 0.333, 0.000], [0.000, 0.000, 0.500]]
}


{
  "formula": "CdPW4N2",
  "functional": "PBE-GGA",
  "state": "optimized geometry",
  "m_tot_mub_per_cell": 0.002,
  "energy_ev_per_cell": -73.4,
  "lattice": [[2.913, 0.000, 0.000], [-1.456, 2.523, 0.000], [0.000, 0.000, 14.326]],
  "species": ["W", "W", "W", "W", "N", "N", "P", "Cd"],
  "fractional_positions": [[0.000, 0.000, 0.129], [0.333, 0.667, 0.673], [0.000, 0.000, 0.871], [0.333, 0.667, 0.327], [0.667, 0.333, 0.231], [0.667, 0.333, 0.769], [0.333, 0.667, 0.000], [0.000, 0.000, 0.500]]
}